# BaCdTe2

A relaxed structure of BaCdTe2 (GGA-PBE, the Alexandria database).

```
data_BaCdTe2
_cell_length_a 7.330
_cell_length_b 7.330
_cell_length_c 5.155
_cell_angle_alpha 92.70
_cell_angle_beta 92.70
_cell_angle_gamma 36.53
_symmetry_space_group_name_H-M 'P 1'
_symmetry_Int_Tables_number 1
loop_
_symmetry_equiv_pos_as_xyz
'x,y,z'
loop_
_atom_site_label
_atom_site_type_symbol
_atom_site_fract_x
_atom_site_fract_y
_atom_site_fract_z
Ba1 Ba 0.000 0.000 0.000
Cd1 Cd 0.724 0.724 0.742
Te1 Te 0.292 0.292 0.012
Te2 Te 0.543 0.543 0.503
```

Results
ΔE_f (raw) = -991.1 meV per atom
Density = 5.09 g/cm³
V = 41.169 Å³/atom
Raw total energy = -13.09 eV/cell